# CoAg3 GGA-PBE relaxed
data_CoAg3
_chemical_formula_sum 'Co1 Ag3'
_space_group_name_H-M_alt 'P 1'
_space_group_IT_number 1
_cell_length_a 2.7563
_cell_length_b 2.7563
_cell_length_c 9.3827
_cell_angle_alpha 90.00
_cell_angle_beta 90.00
_cell_angle_gamma 113.15
loop_
_space_group_symop_operation_xyz
'x,y,z'
loop_
_atom_site_label
_atom_site_type_symbol
_atom_site_fract_x
_atom_site_fract_y
_atom_site_fract_z
Ag1 Ag 0.0000 0.0000 0.0145
Ag2 Ag 0.5000 0.5000 0.7500
Ag3 Ag 0.0000 0.0000 0.4855
Co1 Co 0.5000 0.5000 0.2500
# M_tot = 0.410 μB/atom
# formation enthalpy at 0 K = 0.3104 eV/atom
# SG = No. 65